Here is crystalline InSb2Ru at its relaxed geometry from the Alexandria database. Energies are from GGA-PBE.

```
InSb2Ru
1.0
6.902 0.002 -0.002
4.620 5.128 0.002
-5.360 -3.465 2.626
In Sb Ru
1 2 1
Cartesian
2.511 2.114 1.314
10.694 4.761 0.000
6.589 2.934 0.000
3.651 -0.449 1.312
```

Summary:
SG = Immm
Energy = -20.29 eV for the cell shown
Formation energy from raw total energies = -7 meV/atom